Density functional theory data (SCAN) for a PBEsol-optimized structure of VP2O7.

a b c (Å): 6.783 7.961 9.321
angles (deg): 90.00 107.99 90.00
Fractional positions:
1 V 0.222 0.232 0.006
2 V 0.222 0.268 0.506
3 V 0.778 0.732 0.494
4 V 0.778 0.768 0.994
5 P 0.031 0.588 0.296
6 P 0.031 0.912 0.796
7 P 0.432 0.029 0.795
8 P 0.432 0.471 0.295
9 P 0.568 0.529 0.705
10 P 0.568 0.971 0.205
11 P 0.969 0.088 0.204
12 P 0.969 0.412 0.704
13 O 0.020 0.230 0.110
14 O 0.020 0.270 0.610
15 O 0.029 0.083 0.867
16 O 0.029 0.417 0.367
17 O 0.108 0.093 0.369
18 O 0.108 0.407 0.869
19 O 0.264 0.616 0.293
20 O 0.264 0.884 0.793
21 O 0.360 0.058 0.156
22 O 0.360 0.442 0.656
23 O 0.383 0.101 0.636
24 O 0.383 0.399 0.136
25 O 0.411 0.166 0.906
26 O 0.411 0.334 0.406
27 O 0.589 0.666 0.594
28 O 0.589 0.834 0.094
29 O 0.617 0.601 0.864
30 O 0.617 0.899 0.364
31 O 0.640 0.558 0.344
32 O 0.640 0.942 0.844
33 O 0.736 0.116 0.207
34 O 0.736 0.384 0.707
35 O 0.892 0.593 0.131
36 O 0.892 0.907 0.631
37 O 0.971 0.583 0.633
38 O 0.971 0.917 0.133
39 O 0.980 0.730 0.390
40 O 0.980 0.770 0.890

Summary:
- polymorph energy (0 for the lowest one) (eV/atom) = 0.016
- ΔE_f (raw) (kJ/mol of atoms) = -238
- space group = P2_1/c, No. 14

Density functional theory data (SCAN) for a PBEsol-optimized structure of Ta2CoW.

a b c (Å): 9.292 9.292 9.292
angles (deg): 17.36 17.36 17.36
Fractional positions:
1 Ta 0.000 0.000 0.000
2 Ta 0.240 0.240 0.240
3 Co 0.496 0.496 0.496
4 W 0.757 0.757 0.757

Summary:
- polymorph energy (0 for the lowest one) (eV/atom) = 0.333
- ΔH_f (0 K) (eV/atom) = 0.3631
- space group = R3m, No. 160

Results for calculated volume: 12.0; 15.6 (in Å³ per atom, following the order of the records).